[1]
Below is a geometry-optimized KBa2Tc structure, with properties calculated at the GGA-PBE level.

Output
The calculated total energy is -2.95 eV/atom. As for the formation energy: 0.873 eV per atom. Its density of states at the Fermi level is 1.1762 states/eV per atom. As for the space group: No. 25. The value obtained for the calculated density is 3518 kg/m³. The total moment is 0.07 μB per atom. The crystal system is orthorhombic.

```
KBa2Tc
1.0
3.984 0.000 0.000
0.000 4.550 0.000
0.000 0.000 10.720
K Ba Tc
1 2 1
direct
0.000 0.000 0.000
0.000 0.000 0.371
0.500 0.500 0.665
0.500 0.500 0.423
```

=====

[2]
Below is a geometry-optimized KBa2Tc structure, with properties calculated at the GGA-PBE level.

Output
The calculated total energy is -2.81 eV/atom. As for the formation energy: 1.019 eV per atom. Its density of states at the Fermi level is 0.9029 states/eV per atom. As for the space group: No. 216. The value obtained for the calculated density is 4290 kg/m³. The total moment is 0.55 μB per atom. The crystal system is cubic.

```
KBa2Tc
1.0
0.000 4.303 4.303
4.303 0.000 4.303
4.303 4.303 0.000
K Ba Tc
1 2 1
direct
0.000 0.000 0.000
0.250 0.250 0.250
0.500 0.500 0.500
0.750 0.750 0.750
```

=====

[3]
Below is a geometry-optimized KBaTc2 structure, with properties calculated at the GGA-PBE level.

Output
The calculated total energy is -4.42 eV/atom. As for the formation energy: 1.516 eV per atom. Its density of states at the Fermi level is 0.7873 states/eV per atom. As for the space group: No. 123. The value obtained for the calculated density is 6561 kg/m³. The total moment is 0.00 μB per atom. The crystal system is tetragonal.

```
KBaTc2
1.0
2.878 0.000 0.000
0.000 2.878 0.000
0.000 0.000 11.375
K Ba Tc
1 1 2
direct
0.000 0.000 0.000
0.000 0.000 0.500
0.500 0.500 0.254
0.500 0.500 0.746
```